DFT (PBE) results for a relaxed CaZrCu crystal.

Computed properties:
- E_form (kJ/mol of formula units) = 18.2
- M_tot (μB per cell) = 0.00
- DOS at the Fermi energy (states/eV/cell) = 11.36
- calculated volume (Å³ per cell) = 285.12
- relative energy among the computed polymorphs (kJ/mol of formula units) = 7

Cell and atoms, written as CIF:
```
data_CaZrCu
_chemical_formula_sum 'Ca4 Zr4 Cu4'
_symmetry_space_group_name_H-M 'A m m 2'
_symmetry_Int_Tables_number 38
_symmetry_space_group_name_Hall 'A 2 -2'
_cell_length_a 4.260
_cell_length_b 3.491
_cell_length_c 19.174
_cell_angle_alpha 90.00
_cell_angle_beta 90.00
_cell_angle_gamma 90.00
loop_
_atom_site_label
_atom_site_type_symbol
_atom_site_fract_x
_atom_site_fract_y
_atom_site_fract_z
Ca1 Ca 0.000 0.000 0.000
Ca2 Ca 0.500 0.000 0.366
Zr1 Zr 0.000 0.000 0.760
Zr2 Zr 0.500 0.000 0.176
Cu1 Cu 0.000 0.000 0.625
Cu2 Cu 0.500 0.000 0.557
```

DFT (PBE) results for a relaxed TbAl2Ni crystal.

Computed properties:
- E_form (kJ/mol of formula units) = -236.0
- M_tot (μB per cell) = 0.00
- DOS at the Fermi energy (states/eV/cell) = 18.62
- calculated volume (Å³ per cell) = 575.19

Cell and atoms, written as CIF:
```
data_TbAl2Ni
_chemical_formula_sum 'Tb8 Al16 Ni8'
_symmetry_space_group_name_H-M 'P n m a'
_symmetry_Int_Tables_number 62
_symmetry_space_group_name_Hall '-P 2ac 2n'
_cell_length_a 15.134
_cell_length_b 6.865
_cell_length_c 5.536
_cell_angle_alpha 90.00
_cell_angle_beta 90.00
_cell_angle_gamma 90.00
loop_
_atom_site_label
_atom_site_type_symbol
_atom_site_fract_x
_atom_site_fract_y
_atom_site_fract_z
Tb1 Tb 0.105 0.250 0.227
Tb2 Tb 0.138 0.750 0.025
Al1 Al 0.042 0.057 0.716
Al2 Al 0.211 0.555 0.526
Ni1 Ni 0.072 0.750 0.509
Ni2 Ni 0.183 0.250 0.757
```

DFT (PBE) results for a relaxed BeCl2 crystal.

Computed properties:
- ΔE_f (raw) (kJ/mol of formula units) = -409
- M_tot (μB per cell) = 0.00
- DOS at the Fermi energy (states/eV/cell) = 0.00
- calculated volume (Å³ per cell) = 965.64
- relative energy among the computed polymorphs (kJ/mol of formula units) = 6

Cell and atoms, written as CIF:
```
data_BeCl2
_chemical_formula_sum 'Be9 Cl18'
_symmetry_space_group_name_H-M 'P 32 2 1'
_symmetry_Int_Tables_number 154
_symmetry_space_group_name_Hall 'P 32 2"'
_cell_length_a 11.4987
_cell_length_b 11.4987
_cell_length_c 8.4331
_cell_angle_alpha 90.00
_cell_angle_beta 90.00
_cell_angle_gamma 120.00
loop_
_atom_site_label
_atom_site_type_symbol
_atom_site_fract_x
_atom_site_fract_y
_atom_site_fract_z
Be1 Be 0.0000 0.5883 0.3333
Be2 Be 0.2640 0.5584 0.1933
Cl1 Cl 0.0804 0.5377 0.1486
Cl2 Cl 0.1417 0.7607 0.4383
Cl3 Cl 0.2750 0.6992 0.7633
```

DFT (PBE) results for a relaxed HoSbPt6 crystal.

Computed properties:
- ΔE_f (raw) (kJ/mol of formula units) = -487
- M_tot (μB per cell) = 0.00
- DOS at the Fermi energy (states/eV/cell) = 2.36
- calculated volume (Å³ per cell) = 137.46

Cell and atoms, written as CIF:
```
data_HoSbPt6
_chemical_formula_sum 'Ho1 Sb1 Pt6'
_symmetry_space_group_name_H-M 'P 4/m m m'
_symmetry_Int_Tables_number 123
_symmetry_space_group_name_Hall '-P 4 2'
_cell_length_a 4.092
_cell_length_b 4.092
_cell_length_c 8.211
_cell_angle_alpha 90.00
_cell_angle_beta 90.00
_cell_angle_gamma 90.00
loop_
_atom_site_label
_atom_site_type_symbol
_atom_site_fract_x
_atom_site_fract_y
_atom_site_fract_z
Ho1 Ho 0.000 0.000 0.000
Sb1 Sb 0.000 0.000 0.500
Pt1 Pt 0.000 0.500 0.253
Pt2 Pt 0.500 0.500 0.000
Pt3 Pt 0.500 0.500 0.500
```

DFT (PBE) results for a relaxed LiSm2Re crystal.

Computed properties:
- E_form (kJ/mol of formula units) = 51.6
- M_tot (μB per cell) = 0.00
- DOS at the Fermi energy (states/eV/cell) = 12.45
- calculated volume (Å³ per cell) = 354.40
- relative energy among the computed polymorphs (kJ/mol of formula units) = 0

Cell and atoms, written as CIF:
```
data_LiSm2Re
_chemical_formula_sum 'Li4 Sm8 Re4'
_symmetry_space_group_name_H-M 'F m -3 m'
_symmetry_Int_Tables_number 225
_symmetry_space_group_name_Hall '-F 4 2 3'
_cell_length_a 7.077
_cell_length_b 7.077
_cell_length_c 7.077
_cell_angle_alpha 90.00
_cell_angle_beta 90.00
_cell_angle_gamma 90.00
loop_
_atom_site_label
_atom_site_type_symbol
_atom_site_fract_x
_atom_site_fract_y
_atom_site_fract_z
Li1 Li 0.000 0.000 0.000
Sm1 Sm 0.250 0.250 0.250
Re1 Re 0.000 0.000 0.500
```

DFT (PBE) results for a relaxed LiCrAg2 crystal.

Computed properties:
- E_form (kJ/mol of formula units) = 102.0
- M_tot (μB per cell) = 8.98
- DOS at the Fermi energy (states/eV/cell) = 2.63
- calculated volume (Å³ per cell) = 137.88
- relative energy among the computed polymorphs (kJ/mol of formula units) = 42

Cell and atoms, written as CIF:
```
data_LiCrAg2
_chemical_formula_sum 'Li2 Cr2 Ag4'
_symmetry_space_group_name_H-M 'C 1 2/m 1'
_symmetry_Int_Tables_number 12
_symmetry_space_group_name_Hall '-C 2y'
_cell_length_a 9.331
_cell_length_b 2.953
_cell_length_c 5.092
_cell_angle_alpha 90.00
_cell_angle_beta 100.74
_cell_angle_gamma 90.00
loop_
_atom_site_label
_atom_site_type_symbol
_atom_site_fract_x
_atom_site_fract_y
_atom_site_fract_z
Li1 Li 0.000 0.000 0.000
Cr1 Cr 0.000 0.500 0.500
Ag1 Ag 0.250 0.000 0.753
```